P) ! Ho4ErTm3 PBE-GGA optimized geometry; values from VASP
! Volume ... 30.747 A^3/atom
! M_tot ... 0.00 μB per formula unit
! Symmetry ... No. 31
&SYSTEM
  ibrav = 0, nat = 16, ntyp = 3
/
ATOMIC_SPECIES
Ho 164.93 Ho.upf
Er 167.26 Er.upf
Tm 168.93 Tm.upf
ATOMIC_POSITIONS angstrom
Ho 0.0000 0.9029 0.0000
Ho 0.0000 6.2666 3.0956
Ho 2.7718 0.9015 2.0658
Ho 2.7656 6.2662 5.1645
Ho 5.5374 0.9011 6.1943
Ho 5.5374 6.2648 3.0987
Ho 8.3030 0.9015 2.0658
Ho 8.3091 6.2662 5.1645
Er 0.0000 2.6950 3.0991
Er 5.5374 4.4727 0.0005
Tm 0.0000 4.4742 0.0005
Tm 2.7686 2.6938 5.1638
Tm 2.7687 4.4739 2.0652
Tm 5.5374 2.6936 3.0992
Tm 8.3061 2.6938 5.1638
Tm 8.3060 4.4739 2.0652
CELL_PARAMETERS angstrom
11.0747 0.0000 0.0000
0.0000 7.1677 0.0000
0.0000 0.0000 6.1974


Q) ! Ho4ErTm3 PBE-GGA optimized geometry; values from VASP
! Volume ... 31.343 A^3/atom
! M_tot ... 0.00 μB per formula unit
! Symmetry ... No. 65
&SYSTEM
  ibrav = 0, nat = 8, ntyp = 3
/
ATOMIC_SPECIES
Ho 164.93 Ho.upf
Er 167.26 Er.upf
Tm 168.93 Tm.upf
ATOMIC_POSITIONS angstrom
Ho 2.7633 10.2121 0.0000
Ho 2.7633 7.1315 0.0000
Ho 2.7633 -7.1315 0.0000
Ho 2.7633 -10.2121 0.0000
Er 0.0000 0.0000 1.7634
Tm 2.7633 3.9944 1.7634
Tm 2.7633 0.0000 0.0000
Tm 2.7633 -3.9944 1.7634
CELL_PARAMETERS angstrom
2.7633 -12.8646 0.0000
2.7633 12.8646 0.0000
0.0000 0.0000 3.5268


Taking the most stable structure as the zero point, the relative energies in meV/atom are P) 0; Q) 212.


P) ! HoEr5Tm5 PBE-GGA optimized geometry; values from VASP
! Volume ... 31.262 A^3/atom
! M_tot ... 0.87 μB per formula unit
! Symmetry ... No. 12
&SYSTEM
  ibrav = 0, nat = 11, ntyp = 3
/
ATOMIC_SPECIES
Ho 164.93 Ho.upf
Er 167.26 Er.upf
Tm 168.93 Tm.upf
ATOMIC_POSITIONS angstrom
Ho 0.0000 0.0000 0.0000
Er 2.2788 0.0000 2.7025
Er 1.0254 0.0000 5.9366
Er 9.2935 0.0000 0.0000
Er 15.0994 0.0000 0.4213
Er 13.8459 0.0000 3.6553
Tm -1.2312 0.0000 3.1789
Tm 4.1102 0.0000 5.2713
Tm 6.0740 0.0000 2.3773
Tm 10.0507 0.0000 3.9805
Tm 12.0146 0.0000 1.0866
CELL_PARAMETERS angstrom
9.2935 -2.9099 0.0000
9.2935 2.9099 0.0000
-2.4623 0.0000 6.3578


Q) ! HoEr5Tm5 PBE-GGA optimized geometry; values from VASP
! Volume ... 31.293 A^3/atom
! M_tot ... 0.00 μB per formula unit
! Symmetry ... No. 2
&SYSTEM
  ibrav = 0, nat = 11, ntyp = 3
/
ATOMIC_SPECIES
Ho 164.93 Ho.upf
Er 167.26 Er.upf
Tm 168.93 Tm.upf
ATOMIC_POSITIONS angstrom
Ho 0.0000 0.0000 0.0000
Er 1.0147 3.2773 0.0000
Er 3.0112 4.6485 2.8037
Er 4.9780 5.9632 5.1171
Er 5.6253 2.0563 2.7043
Er 7.5921 3.3709 5.0176
Tm 2.2454 1.3619 2.4872
Tm 4.2008 2.6687 5.6364
Tm 4.3719 3.2773 0.0000
Tm 6.4025 5.3508 2.1849
Tm 8.3579 6.6576 5.3341
CELL_PARAMETERS angstrom
6.7144 0.0000 0.0000
2.0295 6.5547 0.0000
1.8594 1.4647 7.8213


Taking the most stable structure as the zero point, the relative energies in meV/atom are P) 146; Q) 0.


P) ! Ho7Er2Tm3 PBE-GGA optimized geometry; values from VASP
! Volume ... 32.818 A^3/atom
! M_tot ... 0.00 μB per formula unit
! Symmetry ... No. 10
&SYSTEM
  ibrav = 0, nat = 12, ntyp = 3
/
ATOMIC_SPECIES
Ho 164.93 Ho.upf
Er 167.26 Er.upf
Tm 168.93 Tm.upf
ATOMIC_POSITIONS angstrom
Ho 0.0000 0.0000 0.0000
Ho 0.5047 2.7100 1.9919
Ho 1.3377 2.7100 5.3744
Ho 2.6315 0.0000 2.1321
Ho 3.2543 0.0000 9.7015
Ho 4.5480 2.7100 6.4592
Ho 5.3810 2.7100 9.8417
Er 2.2196 2.7100 8.5480
Er 3.6661 2.7100 3.2856
Tm 0.1724 0.0000 7.8067
Tm 3.0701 2.7100 0.0000
Tm 5.7134 0.0000 4.0269
CELL_PARAMETERS angstrom
6.1402 0.0000 0.0000
0.0000 5.4200 0.0000
-0.2545 0.0000 11.8336


Q) ! Ho7Er2Tm3 PBE-GGA optimized geometry; values from VASP
! Volume ... 30.807 A^3/atom
! M_tot ... 0.00 μB per formula unit
! Symmetry ... No. 65
&SYSTEM
  ibrav = 0, nat = 12, ntyp = 3
/
ATOMIC_SPECIES
Ho 164.93 Ho.upf
Er 167.26 Er.upf
Tm 168.93 Tm.upf
ATOMIC_POSITIONS angstrom
Ho 0.0000 0.0000 0.0000
Ho 2.8070 15.8884 1.7744
Ho 2.8070 9.9737 0.0000
Ho 2.8070 3.4185 0.0000
Ho 2.8070 -3.4185 0.0000
Ho 2.8070 -9.9737 0.0000
Ho 2.8070 -15.8884 1.7744
Er 2.8070 13.0713 0.0000
Er 2.8070 -13.0713 0.0000
Tm 2.8070 6.8597 1.7744
Tm 2.8070 0.0000 1.7744
Tm 2.8070 -6.8597 1.7744
CELL_PARAMETERS angstrom
2.8070 -18.5557 0.0000
2.8070 18.5557 0.0000
0.0000 0.0000 3.5488


Taking the most stable structure as the zero point, the relative energies in meV/atom are P) 203; Q) 0.


P) ! Ho8ErTm6 PBE-GGA optimized geometry; values from VASP
! Volume ... 30.429 A^3/atom
! M_tot ... 0.00 μB per formula unit
! Symmetry ... No. 2
&SYSTEM
  ibrav = 0, nat = 15, ntyp = 3
/
ATOMIC_SPECIES
Ho 164.93 Ho.upf
Er 167.26 Er.upf
Tm 168.93 Tm.upf
ATOMIC_POSITIONS angstrom
Ho 0.8787 3.0647 6.5799
Ho 0.8831 2.3197 1.6830
Ho 2.6390 3.4005 12.3910
Ho 2.6459 7.7004 9.9556
Ho 2.6476 4.4068 3.8175
Ho 2.6545 8.7066 1.3821
Ho 4.4105 9.7875 12.0901
Ho 4.4148 9.0425 7.1932
Er 2.6468 6.0536 6.8865
Tm 0.8848 7.3913 4.1330
Tm 0.8860 5.7285 1.0671
Tm 2.6478 11.1219 9.3356
Tm 2.6458 0.9853 4.4375
Tm 4.4075 6.3786 12.7060
Tm 4.4087 4.7158 9.6401
CELL_PARAMETERS angstrom
3.5319 0.0000 0.0000
0.0077 9.3828 0.0000
1.7539 2.7243 13.7731


Q) ! Ho8ErTm6 PBE-GGA optimized geometry; values from VASP
! Volume ... 30.998 A^3/atom
! M_tot ... 0.00 μB per formula unit
! Symmetry ... No. 148
&SYSTEM
  ibrav = 0, nat = 15, ntyp = 3
/
ATOMIC_SPECIES
Ho 164.93 Ho.upf
Er 167.26 Er.upf
Tm 168.93 Tm.upf
ATOMIC_POSITIONS angstrom
Ho 0.0000 0.0000 1.5576
Ho -0.1060 -1.9397 7.2807
Ho -1.6269 1.0617 7.2807
Ho -1.7328 -0.8781 13.0502
Ho 1.7328 0.8781 7.2807
Ho 1.6269 -1.0616 13.0503
Ho 0.1060 1.9397 13.0503
Ho 0.0000 0.0000 18.7733
Er 0.0000 0.0000 10.1655
Tm -3.0670 -1.1486 9.3507
Tm -0.5388 -3.2304 10.9802
Tm -2.5282 2.0818 10.9802
Tm 2.5282 -2.0818 9.3507
Tm 0.5388 3.2304 9.3507
Tm 3.0670 1.1486 10.9802
CELL_PARAMETERS angstrom
4.4504 2.5695 6.7770
-4.4504 2.5695 6.7770
0.0000 -5.1389 6.7770


Taking the most stable structure as the zero point, the relative energies in meV/atom are P) 0; Q) 132.


P) ! Ho4Er4Tm3 PBE-GGA optimized geometry; values from VASP
! Volume ... 30.424 A^3/atom
! M_tot ... 0.00 μB per formula unit
! Symmetry ... No. 2
&SYSTEM
  ibrav = 0, nat = 11, ntyp = 3
/
ATOMIC_SPECIES
Ho 164.93 Ho.upf
Er 167.26 Er.upf
Tm 168.93 Tm.upf
ATOMIC_POSITIONS angstrom
Ho 0.8676 1.3698 5.5894
Ho 0.8696 4.1299 0.5906
Ho 4.3393 4.1168 16.8984
Ho 4.3413 6.8770 11.8995
Er 0.8660 4.1226 7.1466
Er 0.8664 1.3749 2.4452
Er 4.3425 6.8719 15.0438
Er 4.3429 4.1241 10.3424
Tm 2.6044 4.1204 13.5164
Tm 2.6043 1.3698 8.7445
Tm 2.6045 4.1264 3.9726
CELL_PARAMETERS angstrom
3.4746 0.0000 0.0000
0.0004 5.5072 0.0000
1.7339 2.7395 17.4890


Q) ! Ho4Er4Tm3 PBE-GGA optimized geometry; values from VASP
! Volume ... 31.448 A^3/atom
! M_tot ... 0.00 μB per formula unit
! Symmetry ... No. 12
&SYSTEM
  ibrav = 0, nat = 11, ntyp = 3
/
ATOMIC_SPECIES
Ho 164.93 Ho.upf
Er 167.26 Er.upf
Tm 168.93 Tm.upf
ATOMIC_POSITIONS angstrom
Ho 9.1545 3.2465 0.0000
Ho 4.8434 0.0000 0.9424
Ho 12.8007 0.0000 2.5005
Ho 9.1545 -3.2465 0.0000
Er 5.4989 2.6129 2.8556
Er 12.1452 2.6129 0.5872
Er 5.4989 -2.6129 2.8556
Er 12.1452 -2.6129 0.5872
Tm 1.5724 0.0000 2.0935
Tm 8.8220 0.0000 1.7214
Tm 16.0716 0.0000 1.3494
CELL_PARAMETERS angstrom
9.1545 -5.4878 0.0000
9.1545 5.4878 0.0000
-0.6649 0.0000 3.4429


Taking the most stable structure as the zero point, the relative energies in meV/atom are P) 0; Q) 126.


P) ! Ho4Er7Tm PBE-GGA optimized geometry; values from VASP
! Volume ... 31.686 A^3/atom
! M_tot ... 0.26 μB per formula unit
! Symmetry ... No. 12
&SYSTEM
  ibrav = 0, nat = 12, ntyp = 3
/
ATOMIC_SPECIES
Ho 164.93 Ho.upf
Er 167.26 Er.upf
Tm 168.93 Tm.upf
ATOMIC_POSITIONS angstrom
Ho -1.1853 0.0000 3.5466
Ho 2.9936 0.0000 2.4806
Ho 2.9749 0.0000 8.5550
Ho 7.1538 0.0000 7.4890
Er 0.0000 0.0000 0.0000
Er -2.9656 0.0000 10.2031
Er -1.1281 0.0000 7.5354
Er 1.3864 0.0000 5.5060
Er 4.5821 0.0000 5.5297
Er 7.0966 0.0000 3.5002
Er 8.9341 0.0000 0.8325
Tm 5.9565 0.0000 0.0000
CELL_PARAMETERS angstrom
5.9565 -2.8922 0.0000
5.9565 2.8922 0.0000
-5.9445 0.0000 11.0357


Q) ! Ho4Er7Tm PBE-GGA optimized geometry; values from VASP
! Volume ... 30.747 A^3/atom
! M_tot ... 0.00 μB per formula unit
! Symmetry ... No. 2
&SYSTEM
  ibrav = 0, nat = 12, ntyp = 3
/
ATOMIC_SPECIES
Ho 164.93 Ho.upf
Er 167.26 Er.upf
Tm 168.93 Tm.upf
ATOMIC_POSITIONS angstrom
Ho 1.7706 2.1453 2.4713
Ho 4.4297 6.1195 5.9863
Ho 4.9798 0.8950 2.6879
Ho 7.6388 4.8691 6.2029
Er 2.2698 2.0317 8.2332
Er 2.6780 5.4309 3.1100
Er 3.6132 2.8418 5.3213
Er 3.2063 0.0000 0.0000
Er 5.7963 4.1726 3.3528
Er 6.7315 1.5835 5.5642
Er 7.1397 4.9828 0.4409
Tm 3.6810 3.3165 0.0000
CELL_PARAMETERS angstrom
6.4126 0.0000 0.0000
0.9494 6.6331 0.0000
2.0475 0.3814 8.6741


Taking the most stable structure as the zero point, the relative energies in meV/atom are P) 212; Q) 0.


P) ! HoEr3Tm4 PBE-GGA optimized geometry; values from VASP
! Volume ... 30.482 A^3/atom
! M_tot ... 0.00 μB per formula unit
! Symmetry ... No. 31
&SYSTEM
  ibrav = 0, nat = 16, ntyp = 3
/
ATOMIC_SPECIES
Ho 164.93 Ho.upf
Er 167.26 Er.upf
Tm 168.93 Tm.upf
ATOMIC_POSITIONS angstrom
Ho 0.0000 0.8963 0.0000
Ho 5.5227 6.2501 3.0894
Er 0.0000 6.2471 3.0889
Er 2.7615 0.8974 2.0606
Er 2.7612 6.2489 5.1500
Er 5.5227 0.8993 6.1783
Er 8.2840 0.8974 2.0606
Er 8.2842 6.2489 5.1500
Tm 0.0000 2.6822 3.0904
Tm 0.0000 4.4611 6.1781
Tm 2.7635 2.6848 5.1487
Tm 2.7592 4.4616 2.0593
Tm 5.5227 2.6853 3.0887
Tm 5.5227 4.4642 0.0011
Tm 8.2819 2.6848 5.1487
Tm 8.2862 4.4616 2.0593
CELL_PARAMETERS angstrom
11.0454 0.0000 0.0000
0.0000 7.1464 0.0000
0.0000 0.0000 6.1787


Q) ! HoEr3Tm4 PBE-GGA optimized geometry; values from VASP
! Volume ... 31.136 A^3/atom
! M_tot ... 0.00 μB per formula unit
! Symmetry ... No. 65
&SYSTEM
  ibrav = 0, nat = 8, ntyp = 3
/
ATOMIC_SPECIES
Ho 164.93 Ho.upf
Er 167.26 Er.upf
Tm 168.93 Tm.upf
ATOMIC_POSITIONS angstrom
Ho 0.0000 0.0000 0.0000
Er 2.7604 4.0135 0.0000
Er 2.7604 0.0000 1.7530
Er 2.7604 -4.0135 0.0000
Tm 2.7604 10.2045 1.7530
Tm 2.7604 7.1284 1.7530
Tm 2.7604 -7.1284 1.7530
Tm 2.7604 -10.2045 1.7530
CELL_PARAMETERS angstrom
2.7604 -12.8691 0.0000
2.7604 12.8691 0.0000
0.0000 0.0000 3.5059


Taking the most stable structure as the zero point, the relative energies in meV/atom are P) 0; Q) 217.


P) ! HoEr2Tm7 PBE-GGA optimized geometry; values from VASP
! Volume ... 37.285 A^3/atom
! M_tot ... 0.00 μB per formula unit
! Symmetry ... No. 65
&SYSTEM
  ibrav = 0, nat = 10, ntyp = 3
/
ATOMIC_SPECIES
Ho 164.93 Ho.upf
Er 167.26 Er.upf
Tm 168.93 Tm.upf
ATOMIC_POSITIONS angstrom
Ho 0.0000 0.0000 0.0000
Er 4.3067 3.3753 2.5786
Er 4.3067 -3.3753 2.5786
Tm 1.5344 1.8361 2.5786
Tm 4.3067 5.0838 0.0000
Tm 1.5344 -1.8361 2.5786
Tm 4.3067 0.0000 2.5786
Tm 7.0790 1.8361 2.5786
Tm 4.3067 -5.0838 0.0000
Tm 7.0790 -1.8361 2.5786
CELL_PARAMETERS angstrom
4.3067 -8.3936 0.0000
4.3067 8.3936 0.0000
0.0000 0.0000 5.1571


Q) ! HoEr2Tm7 PBE-GGA optimized geometry; values from VASP
! Volume ... 29.996 A^3/atom
! M_tot ... 0.00 μB per formula unit
! Symmetry ... No. 2
&SYSTEM
  ibrav = 0, nat = 10, ntyp = 3
/
ATOMIC_SPECIES
Ho 164.93 Ho.upf
Er 167.26 Er.upf
Tm 168.93 Tm.upf
ATOMIC_POSITIONS angstrom
Ho 0.0000 0.0000 0.0000
Er 3.0215 2.7291 4.4583
Er 7.0379 5.1656 2.9711
Tm 1.0021 3.3453 0.0000
Tm 4.0228 6.0741 4.4580
Tm 3.0178 0.9098 1.4851
Tm 4.0214 4.2543 1.4868
Tm 6.0380 3.6404 5.9426
Tm 7.0416 6.9849 5.9443
Tm 6.0366 1.8206 2.9714
CELL_PARAMETERS angstrom
6.0344 0.0000 0.0000
2.0042 6.6907 0.0000
2.0208 1.2040 7.4294


Taking the most stable structure as the zero point, the relative energies in meV/atom are P) 689; Q) 0.


P) ! HoEr2Tm6 PBE-GGA optimized geometry; values from VASP
! Volume ... 30.040 A^3/atom
! M_tot ... 0.00 μB per formula unit
! Symmetry ... No. 136
&SYSTEM
  ibrav = 0, nat = 18, ntyp = 3
/
ATOMIC_SPECIES
Ho 164.93 Ho.upf
Er 167.26 Er.upf
Tm 168.93 Tm.upf
ATOMIC_POSITIONS angstrom
Ho 0.0000 0.0000 0.0000
Ho 5.2311 5.2311 2.4700
Er 1.7462 1.7462 2.4700
Er 3.4850 6.9773 0.0000
Er 6.9773 3.4850 0.0000
Er 8.7161 8.7161 2.4700
Tm 0.0006 3.4909 0.0000
Tm 10.4616 6.9713 0.0000
Tm 1.7402 5.2318 2.4700
Tm 1.7464 8.7159 2.4700
Tm 3.4847 3.4847 0.0000
Tm 3.4909 0.0006 0.0000
Tm 5.2318 1.7402 2.4700
Tm 5.2305 8.7221 2.4700
Tm 6.9713 10.4616 0.0000
Tm 6.9775 6.9775 0.0000
Tm 8.7159 1.7464 2.4700
Tm 8.7221 5.2305 2.4700
CELL_PARAMETERS angstrom
10.4623 0.0000 0.0000
0.0000 10.4623 0.0000
0.0000 0.0000 4.9400


Q) ! HoEr2Tm6 PBE-GGA optimized geometry; values from VASP
! Volume ... 30.704 A^3/atom
! M_tot ... 0.00 μB per formula unit
! Symmetry ... No. 187
&SYSTEM
  ibrav = 0, nat = 9, ntyp = 3
/
ATOMIC_SPECIES
Ho 164.93 Ho.upf
Er 167.26 Er.upf
Tm 168.93 Tm.upf
ATOMIC_POSITIONS angstrom
Ho 0.0000 0.0000 0.0000
Er 0.0000 2.0436 8.3195
Er 0.0000 2.0436 17.1497
Tm 0.0000 0.0000 5.5451
Tm 0.0000 0.0000 11.0638
Tm 0.0000 0.0000 14.4053
Tm 0.0000 0.0000 19.9240
Tm 0.0000 2.0436 2.7873
Tm 0.0000 2.0436 22.6818
CELL_PARAMETERS angstrom
3.5396 0.0000 0.0000
-1.7698 3.0653 0.0000
0.0000 0.0000 25.4691


Taking the most stable structure as the zero point, the relative energies in meV/atom are P) 0; Q) 18.


P) ! Ho2Er7Tm3 PBE-GGA optimized geometry; values from VASP
! Volume ... 32.624 A^3/atom
! M_tot ... 0.00 μB per formula unit
! Symmetry ... No. 10
&SYSTEM
  ibrav = 0, nat = 12, ntyp = 3
/
ATOMIC_SPECIES
Ho 164.93 Ho.upf
Er 167.26 Er.upf
Tm 168.93 Tm.upf
ATOMIC_POSITIONS angstrom
Ho 0.5660 0.0000 3.2929
Ho 5.2366 0.0000 8.5312
Er 0.1308 2.7064 9.7116
Er 1.4494 0.0000 6.4574
Er 2.2574 0.0000 9.8434
Er 3.0585 2.7064 0.0000
Er 3.5452 0.0000 1.9806
Er 4.3532 0.0000 5.3666
Er 5.6718 2.7064 2.1124
Tm 0.0000 0.0000 0.0000
Tm 2.6317 2.7064 4.0129
Tm 3.1710 2.7064 7.8112
CELL_PARAMETERS angstrom
6.1169 0.0000 0.0000
0.0000 5.4127 0.0000
-0.3143 0.0000 11.8240


Q) ! Ho2Er7Tm3 PBE-GGA optimized geometry; values from VASP
! Volume ... 30.610 A^3/atom
! M_tot ... 0.00 μB per formula unit
! Symmetry ... No. 65
&SYSTEM
  ibrav = 0, nat = 12, ntyp = 3
/
ATOMIC_SPECIES
Ho 164.93 Ho.upf
Er 167.26 Er.upf
Tm 168.93 Tm.upf
ATOMIC_POSITIONS angstrom
Ho 2.7984 13.0519 0.0000
Ho 2.7984 -13.0519 0.0000
Er 0.0000 0.0000 0.0000
Er 2.7984 15.8628 1.7725
Er 2.7984 9.9593 0.0000
Er 2.7984 3.3910 0.0000
Er 2.7984 -3.3910 0.0000
Er 2.7984 -9.9593 0.0000
Er 2.7984 -15.8628 1.7725
Tm 2.7984 6.8482 1.7725
Tm 2.7984 0.0000 1.7725
Tm 2.7984 -6.8482 1.7725
CELL_PARAMETERS angstrom
2.7984 -18.5133 0.0000
2.7984 18.5133 0.0000
0.0000 0.0000 3.5450


Taking the most stable structure as the zero point, the relative energies in meV/atom are P) 208; Q) 0.